*w*
# PBE Cr2CdOs2, relaxed
# N(E_F), states/eV/atom: 0.79
data_Cr2CdOs2
_chemical_formula_sum 'Cr4 Cd2 Os4'
_cell_length_a 7.3843
_cell_length_b 7.3843
_cell_length_c 2.7307
_cell_angle_alpha 90.00
_cell_angle_beta 90.00
_cell_angle_gamma 90.00
_space_group_name_H-M_alt 'P 1'
_space_group_IT_number 1
loop_
_space_group_symop_operation_xyz
'x,y,z'
loop_
_atom_site_label
_atom_site_fract_x
_atom_site_fract_y
_atom_site_fract_z
Cr1 0.3658 0.8658 0.0000
Cr2 0.8658 0.6342 0.0000
Cr3 0.6342 0.1342 0.0000
Cr4 0.1342 0.3658 0.0000
Os1 0.1512 0.6512 0.5000
Os2 0.6512 0.8488 0.5000
Os3 0.8488 0.3488 0.5000
Os4 0.3488 0.1512 0.5000
Cd1 0.0000 0.0000 0.0000
Cd2 0.5000 0.5000 0.0000

=====

*x*
# PBE Cr2CdOs2, relaxed
# N(E_F), states/eV/atom: 0.67
data_Cr2CdOs2
_chemical_formula_sum 'Cr4 Cd2 Os4'
_cell_length_a 7.4166
_cell_length_b 7.4166
_cell_length_c 2.7119
_cell_angle_alpha 90.00
_cell_angle_beta 90.00
_cell_angle_gamma 90.00
_space_group_name_H-M_alt 'P 1'
_space_group_IT_number 1
loop_
_space_group_symop_operation_xyz
'x,y,z'
loop_
_atom_site_label
_atom_site_fract_x
_atom_site_fract_y
_atom_site_fract_z
Cr1 0.1613 0.6613 0.5000
Cr2 0.6613 0.8387 0.5000
Cr3 0.8387 0.3387 0.5000
Cr4 0.3387 0.1613 0.5000
Os1 0.3716 0.8716 0.0000
Os2 0.8716 0.6284 0.0000
Os3 0.6284 0.1284 0.0000
Os4 0.1284 0.3716 0.0000
Cd1 0.0000 0.0000 0.0000
Cd2 0.5000 0.5000 0.0000

=====

Which is most stable, and by how much? *x*, by 0.034 eV/atom.

=====

*w*
# PBE Cr2CdTeOs, relaxed
# N(E_F), states/eV/atom: 0.99
data_Cr2CdTeOs
_chemical_formula_sum 'Cr2 Cd1 Te1 Os1'
_cell_length_a 4.9568
_cell_length_b 5.3270
_cell_length_c 4.9568
_cell_angle_alpha 90.00
_cell_angle_beta 90.00
_cell_angle_gamma 90.00
_space_group_name_H-M_alt 'P 1'
_space_group_IT_number 1
loop_
_space_group_symop_operation_xyz
'x,y,z'
loop_
_atom_site_label
_atom_site_fract_x
_atom_site_fract_y
_atom_site_fract_z
Cr1 0.0000 0.0000 0.5000
Cr2 0.5000 0.0000 0.0000
Te1 0.0000 0.0000 0.0000
Os1 0.5000 0.5000 0.5000
Cd1 0.0000 0.5000 0.0000

=====

*x*
# PBE Cr2CdTeOs, relaxed
# N(E_F), states/eV/atom: 0.79
data_Cr2CdTeOs
_chemical_formula_sum 'Cr2 Cd1 Te1 Os1'
_cell_length_a 5.0337
_cell_length_b 5.2864
_cell_length_c 5.0337
_cell_angle_alpha 90.00
_cell_angle_beta 90.00
_cell_angle_gamma 90.00
_space_group_name_H-M_alt 'P 1'
_space_group_IT_number 1
loop_
_space_group_symop_operation_xyz
'x,y,z'
loop_
_atom_site_label
_atom_site_fract_x
_atom_site_fract_y
_atom_site_fract_z
Cr1 0.0000 0.0000 0.5000
Cr2 0.5000 0.0000 0.0000
Te1 0.0000 0.5000 0.0000
Os1 0.5000 0.5000 0.5000
Cd1 0.0000 0.0000 0.0000

=====

Which is most stable, and by how much? *w*, by 0.340 eV/atom.

=====

*w*
# PBE Cr2CdP, relaxed
# N(E_F), states/eV/atom: 0.40
data_Cr2CdP
_chemical_formula_sum 'Cr2 Cd1 P1'
_cell_length_a 4.0489
_cell_length_b 3.0093
_cell_length_c 5.7789
_cell_angle_alpha 105.28
_cell_angle_beta 90.00
_cell_angle_gamma 90.00
_space_group_name_H-M_alt 'P 1'
_space_group_IT_number 1
loop_
_space_group_symop_operation_xyz
'x,y,z'
loop_
_atom_site_label
_atom_site_fract_x
_atom_site_fract_y
_atom_site_fract_z
Cd1 0.5000 0.6890 0.7522
Cr1 0.0000 0.8712 0.1198
Cr2 0.5000 0.4092 0.1924
P1 0.0000 0.5305 0.4356

=====

*x*
# PBE Cr2CdP, relaxed
# N(E_F), states/eV/atom: 0.64
data_Cr2CdP
_chemical_formula_sum 'Cr2 Cd1 P1'
_cell_length_a 3.3485
_cell_length_b 3.3485
_cell_length_c 7.1741
_cell_angle_alpha 76.52
_cell_angle_beta 76.52
_cell_angle_gamma 59.95
_space_group_name_H-M_alt 'P 1'
_space_group_IT_number 1
loop_
_space_group_symop_operation_xyz
'x,y,z'
loop_
_atom_site_label
_atom_site_fract_x
_atom_site_fract_y
_atom_site_fract_z
Cd1 0.2500 0.2500 0.2500
Cr1 0.0229 0.0229 0.9310
Cr2 0.4771 0.4771 0.5690
P1 0.7500 0.7500 0.7500

=====

*y*
# PBE Cr2CdP, relaxed
# N(E_F), states/eV/atom: 0.85
data_Cr2CdP
_chemical_formula_sum 'Cr2 Cd1 P1'
_cell_length_a 7.2468
_cell_length_b 7.2468
_cell_length_c 7.2468
_cell_angle_alpha 154.76
_cell_angle_beta 156.56
_cell_angle_gamma 34.71
_space_group_name_H-M_alt 'P 1'
_space_group_IT_number 1
loop_
_space_group_symop_operation_xyz
'x,y,z'
loop_
_atom_site_label
_atom_site_fract_x
_atom_site_fract_y
_atom_site_fract_z
Cd1 0.3081 0.8081 0.5000
Cr1 0.9852 0.9852 0.0000
Cr2 0.6637 0.1637 0.5000
P1 0.5429 0.5429 0.0000

=====

Which is most stable, and by how much? *x*, by 0.024 eV/atom.

=====

*w*
# PBE Cr2CdP, relaxed
# N(E_F), states/eV/atom: 0.68
data_Cr2CdP
_chemical_formula_sum 'Cr2 Cd1 P1'
_cell_length_a 4.2069
_cell_length_b 4.2069
_cell_length_c 5.6377
_cell_angle_alpha 84.03
_cell_angle_beta 84.03
_cell_angle_gamma 41.57
_space_group_name_H-M_alt 'P 1'
_space_group_IT_number 1
loop_
_space_group_symop_operation_xyz
'x,y,z'
loop_
_atom_site_label
_atom_site_fract_x
_atom_site_fract_y
_atom_site_fract_z
Cd1 0.2671 0.2671 0.2386
Cr1 0.0118 0.0118 0.9140
Cr2 0.7452 0.7452 0.7521
P1 0.4759 0.4759 0.5952

=====

*x*
# PBE Cr2CdP, relaxed
# N(E_F), states/eV/atom: 0.85
data_Cr2CdP
_chemical_formula_sum 'Cr2 Cd1 P1'
_cell_length_a 8.6809
_cell_length_b 8.6809
_cell_length_c 8.6809
_cell_angle_alpha 18.94
_cell_angle_beta 18.94
_cell_angle_gamma 18.94
_space_group_name_H-M_alt 'P 1'
_space_group_IT_number 1
loop_
_space_group_symop_operation_xyz
'x,y,z'
loop_
_atom_site_label
_atom_site_fract_x
_atom_site_fract_y
_atom_site_fract_z
Cd1 0.2546 0.2546 0.2546
Cr1 0.0159 0.0159 0.0159
Cr2 0.7478 0.7478 0.7478
P1 0.4818 0.4818 0.4818

=====

*y*
# PBE Cr2CdP, relaxed
# N(E_F), states/eV/atom: 0.62
data_Cr2CdP
_chemical_formula_sum 'Cr2 Cd1 P1'
_cell_length_a 4.2334
_cell_length_b 4.2334
_cell_length_c 3.4934
_cell_angle_alpha 90.00
_cell_angle_beta 90.00
_cell_angle_gamma 90.00
_space_group_name_H-M_alt 'P 1'
_space_group_IT_number 1
loop_
_space_group_symop_operation_xyz
'x,y,z'
loop_
_atom_site_label
_atom_site_fract_x
_atom_site_fract_y
_atom_site_fract_z
Cd1 0.0000 0.5000 0.5000
Cr1 0.0000 0.0000 0.0000
Cr2 0.5000 0.5000 0.0000
P1 0.5000 0.0000 0.5000

=====

Which is most stable, and by how much? *w*, by 0.013 eV/atom.

=====

*w*
# PBE Cr2CdP, relaxed
# N(E_F), states/eV/atom: 0.93
data_Cr2CdP
_chemical_formula_sum 'Cr2 Cd1 P1'
_cell_length_a 4.6487
_cell_length_b 4.6487
_cell_length_c 4.6487
_cell_angle_alpha 127.39
_cell_angle_beta 127.39
_cell_angle_gamma 77.61
_space_group_name_H-M_alt 'P 1'
_space_group_IT_number 1
loop_
_space_group_symop_operation_xyz
'x,y,z'
loop_
_atom_site_label
_atom_site_fract_x
_atom_site_fract_y
_atom_site_fract_z
Cd1 0.7500 0.2500 0.5000
Cr1 0.0000 0.0000 0.0000
Cr2 0.5000 0.5000 0.0000
P1 0.2500 0.7500 0.5000

=====

*x*
# PBE Cr2CdP, relaxed
# N(E_F), states/eV/atom: 0.99
data_Cr2CdP
_chemical_formula_sum 'Cr2 Cd1 P1'
_cell_length_a 2.9653
_cell_length_b 2.9653
_cell_length_c 6.7279
_cell_angle_alpha 90.00
_cell_angle_beta 90.00
_cell_angle_gamma 90.00
_space_group_name_H-M_alt 'P 1'
_space_group_IT_number 1
loop_
_space_group_symop_operation_xyz
'x,y,z'
loop_
_atom_site_label
_atom_site_fract_x
_atom_site_fract_y
_atom_site_fract_z
Cd1 0.5000 0.5000 0.7696
Cr1 0.0000 0.0000 0.0571
Cr2 0.5000 0.5000 0.2524
P1 0.0000 0.0000 0.4209

=====

*y*
# PBE Cr2CdP, relaxed
# N(E_F), states/eV/atom: 0.57
data_Cr2CdP
_chemical_formula_sum 'Cr2 Cd1 P1'
_cell_length_a 4.4823
_cell_length_b 4.4823
_cell_length_c 4.4823
_cell_angle_alpha 60.00
_cell_angle_beta 60.00
_cell_angle_gamma 60.00
_space_group_name_H-M_alt 'P 1'
_space_group_IT_number 1
loop_
_space_group_symop_operation_xyz
'x,y,z'
loop_
_atom_site_label
_atom_site_fract_x
_atom_site_fract_y
_atom_site_fract_z
Cd1 0.5000 0.5000 0.5000
Cr1 0.0000 0.0000 0.0000
Cr2 0.2500 0.2500 0.2500
P1 0.7500 0.7500 0.7500

=====

Which is most stable, and by how much? *x*, by 0.322 eV/atom.

=====

*w*
# PBE Cr2CdP, relaxed
# N(E_F), states/eV/atom: 0.93
data_Cr2CdP
_chemical_formula_sum 'Cr2 Cd1 P1'
_cell_length_a 4.3448
_cell_length_b 4.3448
_cell_length_c 4.3448
_cell_angle_alpha 60.00
_cell_angle_beta 60.00
_cell_angle_gamma 60.00
_space_group_name_H-M_alt 'P 1'
_space_group_IT_number 1
loop_
_space_group_symop_operation_xyz
'x,y,z'
loop_
_atom_site_label
_atom_site_fract_x
_atom_site_fract_y
_atom_site_fract_z
Cr1 0.2500 0.2500 0.2500
Cr2 0.7500 0.7500 0.7500
P1 0.0000 0.0000 0.0000
Cd1 0.5000 0.5000 0.5000

=====

*x*
# PBE Cr2CdP, relaxed
# N(E_F), states/eV/atom: 0.91
data_Cr2CdP
_chemical_formula_sum 'Cr4 Cd2 P2'
_cell_length_a 3.8382
_cell_length_b 3.8382
_cell_length_c 9.0973
_cell_angle_alpha 77.82
_cell_angle_beta 77.82
_cell_angle_gamma 90.00
_space_group_name_H-M_alt 'P 1'
_space_group_IT_number 1
loop_
_space_group_symop_operation_xyz
'x,y,z'
loop_
_atom_site_label
_atom_site_fract_x
_atom_site_fract_y
_atom_site_fract_z
Cr1 0.5178 0.1250 0.2500
Cr2 0.2322 0.6250 0.2500
Cr3 0.3750 0.4822 0.7500
Cr4 0.8750 0.7678 0.7500
P1 0.5000 0.5000 0.0000
P2 0.2500 0.7500 0.5000
Cd1 0.0000 0.0000 0.0000
Cd2 0.7500 0.2500 0.5000

=====

Which is most stable, and by how much? *w*, by 0.136 eV/atom.

=====

*w*
# PBE CrCdP, relaxed
# N(E_F), states/eV/atom: 0.63
data_CrCdP
_chemical_formula_sum 'Cr1 Cd1 P1'
_cell_length_a 4.9922
_cell_length_b 2.7229
_cell_length_c 3.7232
_cell_angle_alpha 90.00
_cell_angle_beta 90.00
_cell_angle_gamma 90.00
_space_group_name_H-M_alt 'P 1'
_space_group_IT_number 1
loop_
_space_group_symop_operation_xyz
'x,y,z'
loop_
_atom_site_label
_atom_site_fract_x
_atom_site_fract_y
_atom_site_fract_z
Cr1 0.5000 0.5000 0.0000
Cd1 0.0000 0.0000 0.0000
P1 0.5000 0.0000 0.5000

=====

*x*
# PBE CrCdP, relaxed
# N(E_F), states/eV/atom: 0.65
data_CrCdP
_chemical_formula_sum 'Cr1 Cd1 P1'
_cell_length_a 3.8679
_cell_length_b 3.8679
_cell_length_c 3.8455
_cell_angle_alpha 90.00
_cell_angle_beta 90.00
_cell_angle_gamma 120.00
_space_group_name_H-M_alt 'P 1'
_space_group_IT_number 1
loop_
_space_group_symop_operation_xyz
'x,y,z'
loop_
_atom_site_label
_atom_site_fract_x
_atom_site_fract_y
_atom_site_fract_z
Cr1 0.3333 0.6667 0.5000
Cd1 0.0000 0.0000 0.0000
P1 0.6667 0.3333 0.5000

=====

*y*
# PBE CrCdP, relaxed
# N(E_F), states/eV/atom: 0.82
data_CrCdP
_chemical_formula_sum 'Cr3 Cd3 P3'
_cell_length_a 3.0333
_cell_length_b 3.0333
_cell_length_c 19.0122
_cell_angle_alpha 90.00
_cell_angle_beta 90.00
_cell_angle_gamma 120.00
_space_group_name_H-M_alt 'P 1'
_space_group_IT_number 1
loop_
_space_group_symop_operation_xyz
'x,y,z'
loop_
_atom_site_label
_atom_site_fract_x
_atom_site_fract_y
_atom_site_fract_z
Cr1 0.0000 0.0000 0.0086
Cr2 0.3333 0.6667 0.6752
Cr3 0.6667 0.3333 0.3419
Cd1 0.0000 0.0000 0.4621
Cd2 0.3333 0.6667 0.1287
Cd3 0.6667 0.3333 0.7954
P1 0.0000 0.0000 0.5999
P2 0.3333 0.6667 0.2665
P3 0.6667 0.3333 0.9332

=====

Which is most stable, and by how much? *w*, by 0.033 eV/atom.

=====

*w*
# PBE CrCdP, relaxed
# N(E_F), states/eV/atom: 0.67
data_CrCdP
_chemical_formula_sum 'Cr1 Cd1 P1'
_cell_length_a 3.0245
_cell_length_b 3.0245
_cell_length_c 5.7026
_cell_angle_alpha 90.00
_cell_angle_beta 90.00
_cell_angle_gamma 90.00
_space_group_name_H-M_alt 'P 1'
_space_group_IT_number 1
loop_
_space_group_symop_operation_xyz
'x,y,z'
loop_
_atom_site_label
_atom_site_fract_x
_atom_site_fract_y
_atom_site_fract_z
Cr1 0.5000 0.5000 0.5984
Cd1 0.0000 0.0000 0.9617
P1 0.0000 0.0000 0.4228

=====

*x*
# PBE CrCdP, relaxed
# N(E_F), states/eV/atom: 0.28
data_CrCdP
_chemical_formula_sum 'Cr1 Cd1 P1'
_cell_length_a 5.5110
_cell_length_b 5.5108
_cell_length_c 3.0618
_cell_angle_alpha 73.88
_cell_angle_beta 73.87
_cell_angle_gamma 32.26
_space_group_name_H-M_alt 'P 1'
_space_group_IT_number 1
loop_
_space_group_symop_operation_xyz
'x,y,z'
loop_
_atom_site_label
_atom_site_fract_x
_atom_site_fract_y
_atom_site_fract_z
Cd1 0.0045 0.0045 0.9955
Cr1 0.7071 0.7071 0.2929
P1 0.2884 0.2884 0.7116

=====

*y*
# PBE CrCdP, relaxed
# N(E_F), states/eV/atom: 0.37
data_CrCdP
_chemical_formula_sum 'Cr1 Cd1 P1'
_cell_length_a 4.3684
_cell_length_b 4.3684
_cell_length_c 4.3684
_cell_angle_alpha 60.00
_cell_angle_beta 60.00
_cell_angle_gamma 60.00
_space_group_name_H-M_alt 'P 1'
_space_group_IT_number 1
loop_
_space_group_symop_operation_xyz
'x,y,z'
loop_
_atom_site_label
_atom_site_fract_x
_atom_site_fract_y
_atom_site_fract_z
Cd1 0.0000 0.0000 0.0000
Cr1 0.5000 0.5000 0.5000
P1 0.7500 0.7500 0.7500

=====

Which is most stable, and by how much? *w*, by 0.034 eV/atom.